1.
An optimized crystal structure of Sr2AsPPt6, computed with GGA-PBE.

The calculation puts the size of the total moment at 0.000 μB per formula unit. The value obtained for the total energy is -5.729 eV/atom. The energy of formation is -7.624 eV/f.u. The density of states at the Fermi level is 0.469 states/eV per atom.

Cell lengths 5.6792, 8.3602, 8.5368 Å; angles 90.00, 90.00, 90.00 degrees
Closest atoms and distances in Å follow each position.
Atoms (fractional coordinates):
Sr1 0.0000 0.2755 0.2408  11 Pt 3.12-3.45
Sr2 0.5000 0.7245 0.7408  11 Pt 3.12-3.45
Sr3 0.0000 0.2755 0.7592  11 Pt 3.12-3.45
Sr4 0.5000 0.7245 0.2592  11 Pt 3.12-3.45
Pt1 0.7520 0.0069 0.5000  1 P 2.49, 4 Pt 2.75-2.76, 1 As 2.79
Pt2 0.0000 0.8789 0.2515  1 P 2.40, 1 As 2.51
Pt3 0.2447 0.5222 0.0000  1 P 2.36, 1 As 2.49
Pt4 0.2553 0.4778 0.5000  1 P 2.36, 1 As 2.49
Pt5 0.7447 0.4778 0.5000  1 P 2.36, 1 As 2.49
Pt6 0.7480 0.9931 0.0000  1 P 2.49, 4 Pt 2.75-2.76, 1 As 2.79
Pt7 0.2480 0.0069 0.5000  1 P 2.49, 4 Pt 2.75-2.76, 1 As 2.79
Pt8 0.0000 0.8789 0.7485  1 P 2.40, 1 As 2.51
Pt9 0.2520 0.9931 0.0000  1 P 2.49, 4 Pt 2.75-2.76, 1 As 2.79
Pt10 0.5000 0.1211 0.2485  1 P 2.40, 1 As 2.51
Pt11 0.7553 0.5222 0.0000  1 P 2.36, 1 As 2.49
Pt12 0.5000 0.1211 0.7515  1 P 2.40, 1 As 2.51
As1 0.0000 0.7193 0.5000  4 Pt 2.49-2.51
As2 0.5000 0.2807 0.0000  4 Pt 2.49-2.51
P1 0.5000 0.2504 0.5000  6 Pt 2.36-2.49
P2 0.0000 0.7496 0.0000  6 Pt 2.36-2.49

2.
An optimized crystal structure of Sr3AsP2Pt8, computed with GGA-PBE.

The calculation puts the size of the total moment at 0.000 μB per formula unit. The value obtained for the total energy is -5.412 eV/atom. The energy of formation is -6.927 eV/f.u. The density of states at the Fermi level is 0.364 states/eV per atom.

Cell lengths 6.4144, 6.4144, 9.5521 Å; angles 90.00, 90.00, 120.00 degrees
Closest atoms and distances in Å follow each position.
Atoms (fractional coordinates):
Pt1 0.8562 0.7123 0.6980  1 P 2.22, 1 As 2.48
Pt2 0.8562 0.1438 0.6980  1 P 2.22, 1 As 2.48
Pt3 0.2877 0.1438 0.6980  1 P 2.22, 1 As 2.48
Pt4 0.1438 0.8562 0.3020  1 P 2.22, 1 As 2.48
Pt5 0.3333 0.6667 0.0023  1 P 2.17
Pt6 0.7123 0.8562 0.3020  1 P 2.22, 1 As 2.48
Pt7 0.1438 0.2877 0.3020  1 P 2.22, 1 As 2.48
Pt8 0.6667 0.3333 0.9977  1 P 2.17
Sr1 0.6667 0.3333 0.3971  9 Pt 3.34-3.56, 1 P 3.57
Sr2 0.0000 0.0000 0.0000  6 Pt 3.30
Sr3 0.3333 0.6667 0.6029  9 Pt 3.34-3.56, 1 P 3.57
As1 0.0000 0.0000 0.5000  6 Pt 2.48
P1 0.6667 0.3333 0.7708  4 Pt 2.17-2.22
P2 0.3333 0.6667 0.2292  4 Pt 2.17-2.22

3.
An optimized crystal structure of Th4As2PPt, computed with GGA-PBE.

The calculation puts the size of the total moment at 0.000 μB per formula unit. The value obtained for the total energy is -7.644 eV/atom. The energy of formation is -10.721 eV/f.u. The density of states at the Fermi level is 0.800 states/eV per atom.

Cell lengths 4.1404, 7.3892, 7.3728 Å; angles 70.69, 90.00, 90.00 degrees
Closest atoms and distances in Å follow each position.
Atoms (fractional coordinates):
As1 0.0000 0.0000 0.0000  6 Th 3.02-3.05
As2 0.5000 0.0000 0.5000  6 Th 3.01-3.03
Th1 0.5000 0.2567 0.7430  2 P 2.93, 3 As 3.01-3.02, 1 Pt 3.01
Th2 0.0000 0.2614 0.2442  2 Pt 2.92, 1 P 2.98, 3 As 3.03-3.05
Th3 0.5000 0.7433 0.2570  2 P 2.93, 3 As 3.01-3.02, 1 Pt 3.01
Th4 0.0000 0.7386 0.7558  2 Pt 2.92, 1 P 2.98, 3 As 3.03-3.05
P1 0.0000 0.5000 0.5000  6 Th 2.93-2.98
Pt1 0.5000 0.5000 0.0000  6 Th 2.92-3.01

4.
An optimized crystal structure of Th2AsPPt6, computed with GGA-PBE.

The calculation puts the size of the total moment at 0.000 μB per formula unit. The value obtained for the total energy is -7.036 eV/atom. The energy of formation is -9.214 eV/f.u. The density of states at the Fermi level is 0.473 states/eV per atom.

Cell lengths 5.5451, 8.9533, 8.0484 Å; angles 90.00, 90.00, 90.00 degrees
Closest atoms and distances in Å follow each position.
Atoms (fractional coordinates):
Pt1 0.0000 0.8657 0.2496  1 P 2.35, 1 As 2.47
Pt2 0.2512 0.4804 0.5000  1 P 2.33, 1 As 2.46
Pt3 0.2475 0.0033 0.5000  6 Pt 2.72-2.80, 1 P 2.77, 1 As 2.99
Pt4 0.5000 0.1343 0.7496  1 P 2.35, 1 As 2.47
Pt5 0.0000 0.8657 0.7504  1 P 2.35, 1 As 2.47
Pt6 0.5000 0.1343 0.2504  1 P 2.35, 1 As 2.47
Pt7 0.7512 0.5196 0.0000  1 P 2.33, 1 As 2.46
Pt8 0.7525 0.0033 0.5000  6 Pt 2.72-2.80, 1 P 2.77, 1 As 2.99
Pt9 0.7475 0.9967 0.0000  6 Pt 2.72-2.80, 1 P 2.77, 1 As 2.99
Pt10 0.2525 0.9967 0.0000  6 Pt 2.72-2.80, 1 P 2.77, 1 As 2.99
Pt11 0.7488 0.4804 0.5000  1 P 2.33, 1 As 2.46
Pt12 0.2488 0.5196 0.0000  1 P 2.33, 1 As 2.46
Th1 0.5000 0.7446 0.7518  6 Pt 2.98-3.31
Th2 0.0000 0.2554 0.2518  6 Pt 2.98-3.31
Th3 0.5000 0.7446 0.2482  6 Pt 2.98-3.31
Th4 0.0000 0.2554 0.7482  6 Pt 2.98-3.31
As1 0.5000 0.2929 0.0000  4 Pt 2.46-2.47
As2 0.0000 0.7071 0.5000  4 Pt 2.46-2.47
P1 0.5000 0.2707 0.5000  4 Pt 2.33-2.35
P2 0.0000 0.7293 0.0000  4 Pt 2.33-2.35